DFT (PBE) results for a geometry-optimized Pr7Er2Th2 structure.

abc: 11.558 11.554 6.183
angles: 90.00 111.92 90.00
Space group C2/m (No. 12)
Inequivalent atoms, fractional coordinates:
Pr  0.000  0.000  0.000 [2 per cell]
Pr  0.181  0.233  0.173 [8 per cell]
Pr  0.230  0.000  0.595 [4 per cell]
Er  0.000  0.225  0.500 [4 per cell]
Th  0.070  0.500  0.801 [4 per cell]

Values from the calculation:
Relative energy among the computed polymorphs in eV/atom: 0.000
Volume in A^3/atom: 34.8
Total moment in μB per formula unit: 0.000
Energy of formation from the pure elements in kJ/mol of atoms: 17


DFT (PBE) results for a geometry-optimized K2Na5CdPb2 structure.

abc: 12.924 12.924 4.329
angles: 90.00 90.00 90.00
Space group P4/mbm (No. 127)
Inequivalent atoms, fractional coordinates:
K  0.168  0.332  0.000 [4 per cell]
Na  0.000  0.500  0.500 [2 per cell]
Na  0.064  0.810  0.500 [8 per cell]
Cd  0.000  0.000  0.000 [2 per cell]
Pb  0.132  0.632  0.000 [4 per cell]

Values from the calculation:
Volume in A^3/atom: 36.2
Total moment in μB per formula unit: 0.000
Energy of formation from the pure elements in kJ/mol of atoms: -7


DFT (PBE) results for a geometry-optimized TaCoAg3 structure.

abc: 5.079 5.079 5.079
angles: 90.00 90.00 90.00
Space group Pm-3m (No. 221)
Inequivalent atoms, fractional coordinates:
Ta  0.000  0.000  0.000 [1 per cell]
Co  0.500  0.500  0.500 [1 per cell]
Ag  0.000  0.000  0.500 [3 per cell]

Values from the calculation:
Relative energy among the computed polymorphs in eV/atom: 0.603
Volume in A^3/atom: 26.2
Total moment in μB per formula unit: 0.396
Energy of formation from the pure elements in kJ/mol of atoms: 207


DFT (PBE) results for a geometry-optimized Er3Tm12Sb5 structure.

abc: 18.121 18.121 18.121
angles: 90.00 90.00 90.00
Space group Ia-3d (No. 230)
Inequivalent atoms, fractional coordinates:
Er  0.000  0.250  0.125 [24 per cell]
Tm  0.022  0.074  0.648 [96 per cell]
Sb  0.000  0.000  0.000 [16 per cell]
Sb  0.000  0.250  0.375 [24 per cell]

Values from the calculation:
Volume in A^3/atom: 37.2
Total moment in μB per formula unit: 0.000
E_form (uncorrected) in eV per atom: 0.1383


DFT (PBE) results for a geometry-optimized Sr3TcP structure.

abc: 5.811 5.811 5.811
angles: 90.00 90.00 90.00
Space group Pm-3m (No. 221)
Inequivalent atoms, fractional coordinates:
Sr  0.000  0.000  0.500 [3 per cell]
Tc  0.500  0.500  0.500 [1 per cell]
P  0.000  0.000  0.000 [1 per cell]

Values from the calculation:
Relative energy among the computed polymorphs in eV/atom: 0.000
Volume in A^3/atom: 39.2
Total moment in μB per formula unit: 3.564
Energy of formation from the pure elements in kJ/mol of atoms: 31


DFT (PBE) results for a geometry-optimized CuAgRhO4 structure.

abc: 5.723 6.224 9.753
angles: 90.00 90.00 90.00
Space group Imma (No. 74)
Inequivalent atoms, fractional coordinates:
Cu  0.250  0.250  0.250 [4 per cell]
Ag  0.000  0.250  0.666 [4 per cell]
Rh  0.000  0.000  0.000 [4 per cell]
O  0.000  0.050  0.207 [8 per cell]
O  0.220  0.250  0.989 [8 per cell]

Values from the calculation:
Volume in A^3/atom: 12.4
Total moment in μB per formula unit: 0.386
E_form (uncorrected) in eV per atom: -0.4867


DFT (PBE) results for a geometry-optimized NaMnAsSe2 structure.

abc: 5.007 5.007 4.670
angles: 90.00 90.00 90.00
Space group P4/mmm (No. 123)
Inequivalent atoms, fractional coordinates:
Na  0.000  0.000  0.000 [1 per cell]
Mn  0.500  0.500  0.500 [1 per cell]
As  0.500  0.500  0.000 [1 per cell]
Se  0.000  0.500  0.500 [2 per cell]

Values from the calculation:
Relative energy among the computed polymorphs in eV/atom: 0.000
Volume in A^3/atom: 23.4
Total moment in μB per formula unit: 2.770
E_form (uncorrected) in eV per atom: -0.1652


DFT (PBE) results for a geometry-optimized Fe2CoAg structure.

abc: 2.765 2.765 6.986
angles: 90.00 90.00 90.00
Space group P4/mmm (No. 123)
Inequivalent atoms, fractional coordinates:
Fe  0.000  0.000  0.212 [2 per cell]
Co  0.500  0.500  0.000 [1 per cell]
Ag  0.500  0.500  0.500 [1 per cell]

Values from the calculation:
Relative energy among the computed polymorphs in eV/atom: 0.000
Volume in A^3/atom: 13.3
Total moment in μB per formula unit: 7.393
Energy of formation from the pure elements in kJ/mol of atoms: 20


DFT (PBE) results for a geometry-optimized NpCuSe3 structure.

abc: 4.229 15.890 7.171
angles: 90.00 90.00 90.00
Space group Cmcm (No. 63)
Inequivalent atoms, fractional coordinates:
Np  0.000  0.196  0.250 [4 per cell]
Cu  0.000  0.446  0.250 [4 per cell]
Se  0.000  0.016  0.250 [4 per cell]
Se  0.000  0.339  0.002 [8 per cell]

Values from the calculation:
Volume in A^3/atom: 24.1
Total moment in μB per formula unit: 2.546
E_form (uncorrected) in eV per atom: -0.6117


DFT (PBE) results for a geometry-optimized MgTi2Zn2 structure.

abc: 7.753 7.753 2.957
angles: 90.00 90.00 90.00
Space group P4/mbm (No. 127)
Inequivalent atoms, fractional coordinates:
Mg  0.000  0.000  0.000 [2 per cell]
Ti  0.116  0.384  0.000 [4 per cell]
Zn  0.179  0.679  0.500 [4 per cell]

Values from the calculation:
Relative energy among the computed polymorphs in eV/atom: 0.128
Volume in A^3/atom: 17.8
Total moment in μB per formula unit: 1.981
Energy of formation from the pure elements in kJ/mol of atoms: 7


DFT (PBE) results for a geometry-optimized Pa3Tc4Ge structure.

abc: 5.776 9.264 5.802
angles: 90.00 90.00 90.00
Space group Imm2 (No. 44)
Inequivalent atoms, fractional coordinates:
Pa  0.000  0.000  0.000 [2 per cell]
Pa  0.000  0.304  0.736 [4 per cell]
Tc  0.000  0.228  0.244 [4 per cell]
Tc  0.244  0.000  0.491 [4 per cell]
Ge  0.000  0.500  0.338 [2 per cell]

Values from the calculation:
Volume in A^3/atom: 19.4
Total moment in μB per formula unit: 0.000
Energy of formation from the pure elements in kJ/mol of atoms: -20


DFT (PBE) results for a geometry-optimized TbDy7 structure.

abc: 9.994 9.994 9.994
angles: 90.00 90.00 90.00
Space group Fm-3m (No. 225)
Inequivalent atoms, fractional coordinates:
Tb  0.000  0.000  0.000 [4 per cell]
Dy  0.000  0.000  0.500 [4 per cell]
Dy  0.000  0.250  0.250 [24 per cell]

Values from the calculation:
Relative energy among the computed polymorphs in eV/atom: 0.000
Volume in A^3/atom: 31.2
Total moment in μB per formula unit: 0.000
Energy of formation from the pure elements in kJ/mol of atoms: 2


DFT (PBE) results for a geometry-optimized YMg2Cd5 structure.

abc: 4.546 4.546 17.780
angles: 90.00 90.00 90.00
Space group I4/mmm (No. 139)
Inequivalent atoms, fractional coordinates:
Y  0.000  0.000  0.000 [2 per cell]
Mg  0.000  0.000  0.246 [4 per cell]
Cd  0.000  0.000  0.500 [2 per cell]
Cd  0.000  0.500  0.131 [8 per cell]

Values from the calculation:
Volume in A^3/atom: 23.0
Total moment in μB per formula unit: 0.000
Energy of formation from the pure elements in kJ/mol of atoms: -18


DFT (PBE) results for a geometry-optimized MnCo2RePt structure.

abc: 4.552 4.552 4.650
angles: 90.00 90.00 90.00
Space group P4/mmm (No. 123)
Inequivalent atoms, fractional coordinates:
Mn  0.000  0.000  0.000 [1 per cell]
Co  0.000  0.500  0.500 [2 per cell]
Re  0.500  0.500  0.000 [1 per cell]
Pt  0.000  0.000  0.500 [1 per cell]

Values from the calculation:
Volume in A^3/atom: 19.3
Total moment in μB per formula unit: 11.751
Energy of formation from the pure elements in kJ/mol of atoms: 173


DFT (PBE) results for a geometry-optimized Y3Ta structure.

abc: 3.899 3.899 7.243
angles: 90.00 90.00 90.00
Space group P4/mmm (No. 123)
Inequivalent atoms, fractional coordinates:
Y  0.000  0.000  0.000 [1 per cell]
Y  0.500  0.500  0.287 [2 per cell]
Ta  0.000  0.000  0.500 [1 per cell]

Values from the calculation:
Relative energy among the computed polymorphs in eV/atom: 0.097
Volume in A^3/atom: 27.5
Total moment in μB per formula unit: 0.000
Energy of formation from the pure elements in kJ/mol of atoms: 35


DFT (PBE) results for a geometry-optimized PrTlCu structure.

abc: 3.513 3.513 11.728
angles: 90.00 90.00 90.00
Space group I4mm (No. 107)
Inequivalent atoms, fractional coordinates:
Pr  0.000  0.000  0.000 [2 per cell]
Tl  0.000  0.000  0.707 [2 per cell]
Cu  0.000  0.000  0.340 [2 per cell]

Values from the calculation:
Volume in A^3/atom: 24.1
Total moment in μB per formula unit: 0.000
Energy of formation from the pure elements in kJ/mol of atoms: -7


DFT (PBE) results for a geometry-optimized Y8Ge3BiTe4 structure.

abc: 8.6101 8.6101 21.3709
angles: 90.00 90.00 120.00
Space group R-3m (No. 166, hexagonal axes)
Inequivalent atoms, fractional coordinates:
Y  0.0000  0.0000  0.2400 [6 per cell]
Y  0.0146  0.5073  0.7581 [18 per cell]
Ge  0.0000  0.5000  0.5000 [9 per cell]
Bi  0.0000  0.0000  0.5000 [3 per cell]
Te  0.0000  0.0000  0.0000 [3 per cell]
Te  0.0000  0.5000  0.0000 [9 per cell]

Values from the calculation:
Volume in A^3/atom: 28.6
Total moment in μB per formula unit: 0.000
E_form (uncorrected) in eV per atom: -1.2010


DFT (PBE) results for a geometry-optimized Ti6Co2Pt structure.

abc: 5.023 6.749 9.763
angles: 90.00 120.69 90.00
Space group P2_1/c (No. 14)
Inequivalent atoms, fractional coordinates:
Ti  0.053  0.249  0.408 [4 per cell]
Ti  0.284  0.636  0.457 [4 per cell]
Ti  0.406  0.101  0.230 [4 per cell]
Co  0.107  0.081  0.714 [4 per cell]
Pt  0.500  0.000  0.500 [2 per cell]

Values from the calculation:
Relative energy among the computed polymorphs in eV/atom: 0.191
Volume in A^3/atom: 15.8
Total moment in μB per formula unit: 0.000
Energy of formation from the pure elements in kJ/mol of atoms: -21


DFT (PBE) results for a geometry-optimized NdPa3Ge4 structure.

abc: 7.227 8.352 7.233
angles: 90.00 109.51 90.00
Space group P2/c (No. 13)
Inequivalent atoms, fractional coordinates:
Nd  0.000  0.124  0.250 [2 per cell]
Pa  0.000  0.375  0.750 [2 per cell]
Pa  0.500  0.124  0.750 [2 per cell]
Pa  0.500  0.375  0.250 [2 per cell]
Ge  0.254  0.380  0.506 [4 per cell]
Ge  0.261  0.132  0.999 [4 per cell]

Values from the calculation:
Volume in A^3/atom: 25.7
Total moment in μB per formula unit: 0.000
Energy of formation from the pure elements in kJ/mol of atoms: -50


DFT (PBE) results for a geometry-optimized ErSc2ZnC structure.

abc: 4.496 4.496 4.874
angles: 90.00 90.00 90.00
Space group P4/mmm (No. 123)
Inequivalent atoms, fractional coordinates:
Er  0.000  0.000  0.000 [1 per cell]
Sc  0.000  0.500  0.500 [2 per cell]
Zn  0.500  0.500  0.000 [1 per cell]
C  0.000  0.000  0.500 [1 per cell]

Values from the calculation:
Volume in A^3/atom: 19.7
Total moment in μB per formula unit: 0.006
Energy of formation from the pure elements in kJ/mol of atoms: -36